This record from the Alexandria database describes a geometry-optimized CrAgOF2 structure. The functional is GGA+U.

```
CrAgOF2
1.0
4.249 0.000 0.000
0.000 4.249 0.000
0.000 0.000 4.189
Cr Ag O F
1 1 1 2
Cartesian
0.000 0.000 0.000 Cr
2.124 2.124 2.094 Ag
2.124 2.124 0.000 O
0.000 2.124 2.094 F
2.124 0.000 2.094 F
```

As for the symmetry: P4/mmm. As for the total magnetic moment: 4.3 μB per cell. The excess energy over the best structure of this formula in the dataset comes out at 953 meV per atom.